Record 1
Material: KPt4Br12
Method: DFT, PBE-GGA
State: optimized geometry

For the total energy, the calculation gives -100.9 eV for the cell shown.

The space group is Im-3 (No. 204) and the conventional cell measures 9.848, 9.848 and 9.848 Å, with angles of 90.00, 90.00 and 90.00 degrees. The inequivalent atoms are K at (0.000, 0.000, 0.000), Pt at (0.250, 0.250, 0.250) and Br at (0.000, 0.186, 0.304).

Record 2
Material: KPtBr2
Method: DFT, PBE-GGA
State: optimized geometry

For the total energy, the calculation gives -36.2 eV for the cell shown.

The space group is R-3m (No. 166, hexagonal axes) and the conventional cell measures 4.4435, 4.4435 and 19.4228 Å, with angles of 90.00, 90.00 and 120.00 degrees. The inequivalent atoms are K at (0.0000, 0.0000, 0.0000), Pt at (0.0000, 0.0000, 0.5000) and Br at (0.0000, 0.0000, 0.2278).

Record 3
Material: K2PtBr6
Method: DFT, PBE-GGA
State: optimized geometry

For the total energy, the calculation gives -54.1 eV for the cell shown.

The space group is C2/m (No. 12) and the conventional cell measures 12.831, 7.438 and 7.551 Å, with angles of 90.00, 125.68 and 90.00 degrees. The inequivalent atoms are K at (0.249, 0.000, 0.250), Pt at (0.000, 0.000, 0.500), Br at (0.025, 0.238, 0.291) and Br at (0.238, 0.000, 0.784).

Record 4
Material: KPtBr2
Method: DFT, PBE-GGA
State: optimized geometry

For the total energy, the calculation gives -38.1 eV for the cell shown.

The space group is F-43m (No. 216) and the conventional cell measures 7.496, 7.496 and 7.496 Å, with angles of 90.00, 90.00 and 90.00 degrees. The inequivalent atoms are K at (0.000, 0.000, 0.000), Pt at (0.250, 0.250, 0.250), Br at (0.000, 0.000, 0.500) and Br at (0.250, 0.250, 0.750).

Record 5
Material: KPt3Br
Method: DFT, PBE-GGA
State: optimized geometry

For the total energy, the calculation gives -17.3 eV for the cell shown.

The space group is Pm-3m (No. 221) and the conventional cell measures 4.889, 4.889 and 4.889 Å, with angles of 90.00, 90.00 and 90.00 degrees. The inequivalent atoms are K at (0.000, 0.000, 0.000), Pt at (0.000, 0.500, 0.500) and Br at (0.500, 0.500, 0.500).

Record 6
Material: KPtBr2
Method: DFT, PBE-GGA
State: optimized geometry

For the total energy, the calculation gives -22.5 eV for the cell shown.

The space group is I-4m2 (No. 119) and the conventional cell measures 4.072, 4.072 and 13.511 Å, with angles of 90.00, 90.00 and 90.00 degrees. The inequivalent atoms are K at (0.000, 0.000, 0.000), Pt at (0.000, 0.500, 0.750), Br at (0.000, 0.000, 0.500) and Br at (0.000, 0.500, 0.250).

Record 7
Material: K12Pt3Br5
Method: DFT, PBE-GGA
State: optimized geometry

For the total energy, the calculation gives -441.2 eV for the cell shown.

The space group is Ia-3d (No. 230) and the conventional cell measures 19.051, 19.051 and 19.051 Å, with angles of 90.00, 90.00 and 90.00 degrees. The inequivalent atoms are K at (0.013, 0.073, 0.656), Pt at (0.000, 0.250, 0.125), Br at (0.000, 0.000, 0.000) and Br at (0.000, 0.250, 0.375).

Record 8
Material: KPtBr2
Method: DFT, PBE-GGA
State: optimized geometry

For the total energy, the calculation gives -24.9 eV for the cell shown.

The space group is C2/m (No. 12) and the conventional cell measures 7.540, 5.749 and 6.135 Å, with angles of 90.00, 114.53 and 90.00 degrees. The inequivalent atoms are K at (0.000, 0.000, 0.000), Pt at (0.000, 0.500, 0.500) and Br at (0.220, 0.500, 0.307).

Q: Number 4 is which compound?
A: KPtBr2

What did the fifth record say?
Material: KPt3Br
Method: DFT, PBE-GGA
State: optimized geometry

For the total energy, the calculation gives -17.3 eV for the cell shown.

The space group is Pm-3m (No. 221) and the conventional cell measures 4.889, 4.889 and 4.889 Å, with angles of 90.00, 90.00 and 90.00 degrees. The inequivalent atoms are K at (0.000, 0.000, 0.000), Pt at (0.000, 0.500, 0.500) and Br at (0.500, 0.500, 0.500).